NaPPtCl2: relaxed, PBE.

a b c (Å): 4.7172 4.7172 5.6402
angles (deg): 90.00 90.00 90.00
Last column: magnetic moment on the atom in μB.
Element x y z (fractional)
Cl 0.0000 0.5000 0.0000  0.25
Cl 0.5000 0.0000 0.0000  0.25
Na 0.0000 0.0000 0.0000  0.01
Pt 0.5000 0.5000 0.5000  0.46
P 0.0000 0.0000 0.5000  0.68

## Properties
As for the volume: 125.5 Å³/cell. Its density of states at the Fermi level is 4.9 states/eV/cell. The value obtained for the electronic total energy is -2.469 eV/atom. The raw formation energy is 823 meV/atom. The space-group type is P4/mmm, No. 123. The value obtained for the total magnetic moment is 2.62 μB per cell.